(1)
# CdBrN

An optimized crystal structure of CdBrN (PBE-GGA, the Alexandria database).

It has space group P2_1/c (No. 14), with a = 7.393 Å, b = 6.724 Å, c = 7.898 Å, α = 90.00°, β = 121.27° and γ = 90.00°. The distinct sites, in fractional coordinates, are Cd at (0.000, 0.249, 0.099), Br at (0.319, 0.000, 0.655) and N at (0.001, 0.074, 0.843).

For the energy, the calculation gives -2.85 eV per atom. Its calculated volume is 335.58 Å³/cell. The value obtained for the formation energy (no corrections) is 787 meV/atom.

***

(2)
# PmTlAg2I6

An optimized crystal structure of PmTlAg2I6 (PBE-GGA, the Alexandria database).

It has space group P-1 (No. 2), with a = 8.096 Å, b = 8.100 Å, c = 9.201 Å, α = 63.92°, β = 63.93° and γ = 60.03°. The distinct sites, in fractional coordinates, are Pm at (0.000, 0.000, 0.000), Tl at (0.500, 0.500, 0.500), Ag at (0.266, 0.266, 0.202), I at (0.073, 0.391, 0.769), I at (0.233, 0.927, 0.231) and I at (0.391, 0.767, 0.769).

For the energy, the calculation gives -2.97 eV per atom. Its calculated volume is 450.34 Å³/cell. The value obtained for the formation energy (no corrections) is -761 meV/atom.

***

(3)
# LaEuCuNi

An optimized crystal structure of LaEuCuNi (PBE-GGA, the Alexandria database).

It has space group F-43m (No. 216), with a = 7.146 Å, b = 7.146 Å, c = 7.146 Å, α = 90.00°, β = 90.00° and γ = 90.00°. The distinct sites, in fractional coordinates, are La at (0.000, 0.000, 0.000), Eu at (0.000, 0.000, 0.500), Cu at (0.250, 0.250, 0.250) and Ni at (0.250, 0.250, 0.750).

For the energy, the calculation gives -6.41 eV per atom. The formation energy is -0.136 eV per atom. Its calculated volume is 364.99 Å³/cell.